First-principles (PBE) data for an optimized crystal structure of ZnRe2I2, as listed in Alexandria.

Computed properties:
SG	P4/mbm
energy relative to the elements, uncorrected	1.51	eV per atom
polymorph energy (0 for the lowest one)	0.324	eV/atom
size of the total moment	0.00	μB/f.u.

Cell lengths 8.6744, 8.6744, 3.1066 Å; angles 90.00, 90.00, 90.00 degrees
Sites, in units of the cell vectors:
Zn 0.0000 0.0000 0.0000
Zn 0.5000 0.5000 0.0000
Re 0.0936 0.4064 0.5000
Re 0.4064 0.9064 0.5000
Re 0.5936 0.0936 0.5000
Re 0.9064 0.5936 0.5000
I 0.2041 0.7041 0.0000
I 0.2959 0.2041 0.0000
I 0.7041 0.7959 0.0000
I 0.7959 0.2959 0.0000

---

First-principles (PBE) data for an optimized crystal structure of Tb4PmTm2Sc, as listed in Alexandria.

Computed properties:
ΔE_f	0.44	eV per atom
SG	Imma
size of the total moment	2.72	μB/f.u.

Cell lengths 9.3712, 9.3712, 9.3712 Å; angles 137.93, 103.47, 91.42 degrees
Sites, in units of the cell vectors:
Tb 0.2452 0.2431 0.0022
Tb 0.2535 0.2474 0.4939
Tb 0.2535 0.7597 0.0061
Tb 0.2591 0.7569 0.5022
Tb 0.7409 0.2431 0.4978
Tb 0.7465 0.2403 0.9939
Tb 0.7465 0.7526 0.5061
Tb 0.7548 0.7569 0.9978
Pm 0.0000 0.0000 0.5000
Pm 0.0000 0.5000 0.0000
Tm 0.0000 0.5000 0.5000
Tm 0.5000 0.0000 0.0000
Tm 0.5000 0.5000 0.0000
Tm 0.5000 0.5000 0.5000
Sc 0.0000 0.0000 0.0000
Sc 0.5000 0.0000 0.5000

---

First-principles (PBE) data for an optimized crystal structure of CsCuTe2Se4, as listed in Alexandria.

Computed properties:
SG	I-42m
energy relative to the elements, uncorrected	-0.25	eV per atom
size of the total moment	0.00	μB/f.u.

Cell lengths 6.9670, 6.9670, 6.9670 Å; angles 116.80, 116.80, 95.64 degrees
Sites, in units of the cell vectors:
Cs 0.0000 0.0000 0.0000
Cu 0.5000 0.5000 0.0000
Te 0.2500 0.7500 0.5000
Te 0.7500 0.2500 0.5000
Se 0.1618 0.1618 0.6150
Se 0.4532 0.8382 0.0000
Se 0.5468 0.5468 0.3850
Se 0.8382 0.4532 0.0000

---

First-principles (PBE) data for an optimized crystal structure of AlZn2Re, as listed in Alexandria.

Computed properties:
ΔE_f	0.25	eV per atom
SG	Cmmm
size of the total moment	0.00	μB/f.u.

Cell lengths 2.6936, 2.6936, 8.7934 Å; angles 90.00, 90.00, 108.13 degrees
Sites, in units of the cell vectors:
Al 0.0000 0.0000 0.0000
Zn 0.5000 0.5000 0.2540
Zn 0.5000 0.5000 0.7460
Re 0.0000 0.0000 0.5000

---

First-principles (PBE) data for an optimized crystal structure of Ag6SBr2Cl3, as listed in Alexandria.

Computed properties:
SG	C2/m
energy relative to the elements, uncorrected	-0.27	eV per atom
size of the total moment	0.00	μB/f.u.

Cell lengths 6.8607, 6.8607, 7.4339 Å; angles 105.36, 105.36, 113.55 degrees
Sites, in units of the cell vectors:
Ag 0.0896 0.4044 0.7417
Ag 0.1775 0.1775 0.2783
Ag 0.4044 0.0896 0.7417
Ag 0.5956 0.9104 0.2583
Ag 0.8225 0.8225 0.7217
Ag 0.9104 0.5956 0.2583
S 0.0000 0.0000 0.5000
Br 0.3361 0.6639 0.5000
Br 0.6639 0.3361 0.5000
Cl 0.1794 0.8206 0.0000
Cl 0.5000 0.5000 0.0000
Cl 0.8206 0.1794 0.0000

---

First-principles (PBE) data for an optimized crystal structure of BaMg3Si2, as listed in Alexandria.

Computed properties:
SG	C2/m
energy relative to the elements, uncorrected	-0.26	eV per atom
size of the total moment	0.00	μB/f.u.

Cell lengths 9.3690, 9.3690, 11.1036 Å; angles 103.39, 103.39, 27.48 degrees
Sites, in units of the cell vectors:
Ba 0.0000 0.0000 0.0000
Ba 0.1545 0.1545 0.7046
Ba 0.8455 0.8455 0.2954
Mg 0.0454 0.0454 0.3462
Mg 0.2148 0.2148 0.3924
Mg 0.3229 0.3229 0.0265
Mg 0.3734 0.3734 0.7867
Mg 0.5000 0.5000 0.5000
Mg 0.6266 0.6266 0.2133
Mg 0.6771 0.6771 0.9735
Mg 0.7852 0.7852 0.6076
Mg 0.9546 0.9546 0.6538
Si 0.1973 0.1973 0.1336
Si 0.3560 0.3560 0.5372
Si 0.4730 0.4730 0.2197
Si 0.5270 0.5270 0.7803
Si 0.6440 0.6440 0.4628
Si 0.8027 0.8027 0.8664

---

First-principles (PBE) data for an optimized crystal structure of HgAuSe, as listed in Alexandria.

Computed properties:
SG	I4mm
energy relative to the elements, uncorrected	0.23	eV per atom
polymorph energy (0 for the lowest one)	0.340	eV/atom
size of the total moment	0.00	μB/f.u.

Cell lengths 5.0318, 5.0318, 5.0318 Å; angles 133.43, 133.43, 67.98 degrees
Sites, in units of the cell vectors:
Hg 0.0000 0.0000 0.0000
Au 0.3348 0.3348 0.0000
Se 0.6602 0.6602 0.0000

---

First-principles (PBE) data for an optimized crystal structure of LiThPtRh, as listed in Alexandria.

Computed properties:
ΔE_f	-0.75	eV per atom
SG	F-43m
polymorph energy (0 for the lowest one)	0.085	eV/atom
size of the total moment	0.00	μB/f.u.

Cell lengths 4.7764, 4.7764, 4.7764 Å; angles 60.00, 60.00, 60.00 degrees
Sites, in units of the cell vectors:
Li 0.0000 0.0000 0.0000
Th 0.5000 0.5000 0.5000
Pt 0.2500 0.2500 0.2500
Rh 0.7500 0.7500 0.7500